## ZrPa2 (PBE)

Data for a relaxed ZrPa2 crystal.

Cell lengths 8.1830, 8.1830, 8.1830 Å; angles 60.00, 60.00, 60.00 degrees
Element x y z (fractional)
Zr 0.1250 0.1250 0.1250
Zr 0.8750 0.8750 0.8750
Pa 0.0000 0.0000 0.0000
Pa 0.0000 0.0000 0.5000
Pa 0.0000 0.5000 0.0000
Pa 0.5000 0.0000 0.0000

Summary:
crystal system = cubic
space-group type = Fd-3m
VASP energy = -6.60 eV/atom
energy relative to the elements = 2.582 eV per atom